(1)
CrAgAs | PBE-GGA | optimized geometry

Results
Energy relative to the lowest polymorph listed for this composition (meV per atom): 191
E_form (eV per formula unit): 0.65

Cell lengths 5.3343, 5.3343, 5.3343 Å; angles 143.70, 143.70, 52.27 degrees
With the nearest neighbours (Å) after each atom.
Sites, in units of the cell vectors:
1 Cr 0.0000 0.0000 0.0000  4 As 2.54
2 Ag 0.6934 0.6934 0.0000  5 As 2.81-3.07, 5 Cr 2.94-2.99
3 As 0.4004 0.4004 0.0000  4 Cr 2.54, 1 Ag 2.81


(2)
Cr2AgAs | PBE-GGA | optimized geometry

Results
E_form (eV per formula unit): 1.15

Cell lengths 4.9939, 4.9939, 4.9939 Å; angles 133.78, 133.47, 67.68 degrees
With the nearest neighbours (Å) after each atom.
Sites, in units of the cell vectors:
1 Cr 0.0000 0.0000 0.0000  4 As 2.78, 4 Cr 2.85-2.87, 4 Ag 2.86
2 Cr 0.7506 0.2506 0.5000  4 Ag 2.78, 4 Cr 2.85-2.87, 4 As 2.85-2.86
3 Ag 0.2505 0.7505 0.5000  8 Cr 2.78-2.86, 4 As 2.85-2.86
4 As 0.5004 0.5004 0.0000  8 Cr 2.78-2.86, 4 Ag 2.85-2.86


Let's list DOS at the Fermi energy in order: 0.536, 0.535 states/eV per atom.